1.
Computed, not measured: Li2RePt after structural relaxation at the PBE-GGA level of DFT.

Results
ρ (kg/m³): 11436
Fermi-level density of states (states/eV/atom): 0.5754
Formation enthalpy at 0 K (eV/atom): -0.1284
VASP energy (eV per atom): -5.71

a b c (Å): 2.6770 2.6770 9.1214
angles (deg): 90.00 90.00 118.62
Element x y z (fractional)
Li (0.0000, 0.0000, 0.0065)
Li (0.0000, 0.0000, 0.4935)
Pt (0.5000, 0.5000, 0.2500)
Re (0.5000, 0.5000, 0.7500)



2.
Computed, not measured: BaSeBr after structural relaxation at the PBE-GGA level of DFT.

Results
ρ (kg/m³): 4552
E_form (uncorrected) (meV/atom): -1745
VASP energy (eV per atom): -4.11

a b c (Å): 4.5943 5.7107 9.3458
angles (deg): 75.65 90.00 113.72
Element x y z (fractional)
Ba (0.0951, 0.1902, 0.2579)
Ba (0.9049, 0.8098, 0.7421)
Se (0.3919, 0.7838, 0.4747)
Se (0.6081, 0.2162, 0.5253)
Br (0.1725, 0.3451, 0.8802)
Br (0.8275, 0.6549, 0.1198)



| no. | ΔE to the lowest computed polymorph (kJ/mol of atoms) |
| --- | --- |
| 1 | 0.00 |
| 2 | 0.00 |